1.
An optimized crystal structure of YZrMn2N, computed with GGA-PBE.

Output
For the total energy, the calculation gives -7.65 eV per atom. For the uncorrected formation energy, the calculation gives 684 meV per atom.

Structure (CIF):
```
data_YZrMn2N
_cell_length_a 5.028
_cell_length_b 5.028
_cell_length_c 4.205
_cell_angle_alpha 90.00
_cell_angle_beta 90.00
_cell_angle_gamma 90.00
_space_group_name_H-M_alt 'P 4/m m m'
_space_group_IT_number 123
_space_group_name_Hall '-P 4 2'
loop_
_atom_site_label
_atom_site_type_symbol
_atom_site_fract_x
_atom_site_fract_y
_atom_site_fract_z
Y1 Y 0.000 0.000 0.000
Zr1 Zr 0.500 0.500 0.500
Mn1 Mn 0.000 0.500 0.500
N1 N 0.500 0.500 0.000
```

---

2.
An optimized crystal structure of Ta2TcP, computed with GGA-PBE.

Output
As for the formation energy from the elements: -0.1846 eV/atom. For the total energy, the calculation gives -10.05 eV per atom.

Structure (CIF):
```
data_Ta2TcP
_cell_length_a 3.357
_cell_length_b 4.086
_cell_length_c 4.589
_cell_angle_alpha 90.00
_cell_angle_beta 90.00
_cell_angle_gamma 90.00
_space_group_name_H-M_alt 'P m m m'
_space_group_IT_number 47
_space_group_name_Hall '-P 2 2'
loop_
_atom_site_label
_atom_site_type_symbol
_atom_site_fract_x
_atom_site_fract_y
_atom_site_fract_z
Ta1 Ta 0.000 0.000 0.000
Ta2 Ta 0.500 0.000 0.500
Tc1 Tc 0.000 0.500 0.500
P1 P 0.500 0.500 0.000
```

---

3.
An optimized crystal structure of BeMoBr2, computed with GGA-PBE.

Output
For the total energy, the calculation gives -3.55 eV per atom. The value obtained for the distance to the lowest polymorph of the same formula is 900 meV/atom. For the uncorrected formation energy, the calculation gives 928 meV per atom.

Structure (CIF):
```
data_BeMoBr2
_cell_length_a 3.142
_cell_length_b 3.142
_cell_length_c 8.840
_cell_angle_alpha 90.00
_cell_angle_beta 90.00
_cell_angle_gamma 90.00
_space_group_name_H-M_alt 'P 4/m m m'
_space_group_IT_number 123
_space_group_name_Hall '-P 4 2'
loop_
_atom_site_label
_atom_site_type_symbol
_atom_site_fract_x
_atom_site_fract_y
_atom_site_fract_z
Be1 Be 0.000 0.000 0.000
Mo1 Mo 0.000 0.000 0.500
Br1 Br 0.500 0.500 0.318
```

---

4.
An optimized crystal structure of Ba2MgZn2, computed with GGA-PBE.

Output
As for the formation energy from the elements: -0.0262 eV/atom. For the total energy, the calculation gives -1.62 eV per atom. The value obtained for the distance to the lowest polymorph of the same formula is 112 meV/atom.

Structure (CIF):
```
data_Ba2MgZn2
_cell_length_a 6.512
_cell_length_b 6.512
_cell_length_c 8.455
_cell_angle_alpha 90.00
_cell_angle_beta 90.00
_cell_angle_gamma 90.00
_space_group_name_H-M_alt 'I 4/m m m'
_space_group_IT_number 139
_space_group_name_Hall '-I 4 2'
loop_
_atom_site_label
_atom_site_type_symbol
_atom_site_fract_x
_atom_site_fract_y
_atom_site_fract_z
Ba1 Ba 0.000 0.500 0.250
Mg1 Mg 0.000 0.000 0.000
Zn1 Zn 0.000 0.000 0.356
```

---

5.
An optimized crystal structure of NaTc3Ge, computed with GGA-PBE.

Output
As for the formation energy from the elements: 1.3771 eV/atom. For the total energy, the calculation gives -6.03 eV per atom. The value obtained for the distance to the lowest polymorph of the same formula is 0 meV/atom.

Structure (CIF):
```
data_NaTc3Ge
_cell_length_a 4.679
_cell_length_b 4.679
_cell_length_c 4.679
_cell_angle_alpha 90.00
_cell_angle_beta 90.00
_cell_angle_gamma 90.00
_space_group_name_H-M_alt 'P m -3 m'
_space_group_IT_number 221
_space_group_name_Hall '-P 4 2 3'
loop_
_atom_site_label
_atom_site_type_symbol
_atom_site_fract_x
_atom_site_fract_y
_atom_site_fract_z
Na1 Na 0.000 0.000 0.000
Tc1 Tc 0.000 0.500 0.500
Ge1 Ge 0.500 0.500 0.500
```

---

6.
An optimized crystal structure of BaBeFe2Mo, computed with GGA-PBE.

Output
As for the formation energy from the elements: 1.6716 eV/atom. For the total energy, the calculation gives -5.01 eV per atom.

Structure (CIF):
```
data_BaBeFe2Mo
_cell_length_a 4.566
_cell_length_b 4.566
_cell_length_c 5.918
_cell_angle_alpha 90.00
_cell_angle_beta 90.00
_cell_angle_gamma 90.00
_space_group_name_H-M_alt 'P 4/m m m'
_space_group_IT_number 123
_space_group_name_Hall '-P 4 2'
loop_
_atom_site_label
_atom_site_type_symbol
_atom_site_fract_x
_atom_site_fract_y
_atom_site_fract_z
Ba1 Ba 0.000 0.000 0.000
Be1 Be 0.500 0.500 0.000
Fe1 Fe 0.000 0.500 0.500
Mo1 Mo 0.000 0.000 0.500
```

---

7.
An optimized crystal structure of Ba2NaCd10, computed with GGA-PBE.

Output
As for the formation energy from the elements: -0.0936 eV/atom. For the total energy, the calculation gives -1.19 eV per atom.

Structure (CIF):
```
data_Ba2NaCd10
_cell_length_a 7.295
_cell_length_b 18.162
_cell_length_c 6.254
_cell_angle_alpha 90.00
_cell_angle_beta 90.00
_cell_angle_gamma 90.00
_space_group_name_H-M_alt 'P b a m'
_space_group_IT_number 55
_space_group_name_Hall '-P 2 2ab'
loop_
_atom_site_label
_atom_site_type_symbol
_atom_site_fract_x
_atom_site_fract_y
_atom_site_fract_z
Ba1 Ba 0.075 0.159 0.000
Na1 Na 0.000 0.500 0.500
Cd1 Cd 0.091 0.349 0.233
Cd2 Cd 0.113 0.772 0.500
Cd3 Cd 0.125 0.939 0.500
Cd4 Cd 0.244 0.122 0.500
```

---

8.
An optimized crystal structure of LaAg4P, computed with GGA-PBE.

Output
As for the formation energy from the elements: -0.1014 eV/atom. For the total energy, the calculation gives -3.73 eV per atom.

Structure (CIF):
```
data_LaAg4P
_cell_length_a 7.942
_cell_length_b 7.942
_cell_length_c 7.942
_cell_angle_alpha 90.00
_cell_angle_beta 90.00
_cell_angle_gamma 90.00
_space_group_name_H-M_alt 'F -4 3 m'
_space_group_IT_number 216
_space_group_name_Hall 'F -4 2 3'
loop_
_atom_site_label
_atom_site_type_symbol
_atom_site_fract_x
_atom_site_fract_y
_atom_site_fract_z
La1 La 0.000 0.000 0.000
Ag1 Ag 0.124 0.124 0.376
P1 P 0.250 0.250 0.750
```

---

9.
An optimized crystal structure of CdFe3, computed with GGA-PBE.

Output
As for the formation energy from the elements: 0.3454 eV/atom. For the total energy, the calculation gives -6.23 eV per atom.

Structure (CIF):
```
data_CdFe3
_cell_length_a 8.5733
_cell_length_b 8.5733
_cell_length_c 2.6184
_cell_angle_alpha 90.00
_cell_angle_beta 90.00
_cell_angle_gamma 120.00
_space_group_name_H-M_alt 'R -3 m'
_space_group_IT_number 166
_space_group_name_Hall '-R 3 2"'
loop_
_atom_site_label
_atom_site_type_symbol
_atom_site_fract_x
_atom_site_fract_y
_atom_site_fract_z
Cd1 Cd 0.0000 0.0000 0.0000
Fe1 Fe 0.0000 0.5000 0.0000
```

---

10.
An optimized crystal structure of Zr3TiCl, computed with GGA-PBE.

Output
For the total energy, the calculation gives -6.25 eV per atom. The value obtained for the distance to the lowest polymorph of the same formula is 802 meV/atom. For the uncorrected formation energy, the calculation gives 831 meV per atom.

Structure (CIF):
```
data_Zr3TiCl
_cell_length_a 5.050
_cell_length_b 5.050
_cell_length_c 5.050
_cell_angle_alpha 90.00
_cell_angle_beta 90.00
_cell_angle_gamma 90.00
_space_group_name_H-M_alt 'P m -3 m'
_space_group_IT_number 221
_space_group_name_Hall '-P 4 2 3'
loop_
_atom_site_label
_atom_site_type_symbol
_atom_site_fract_x
_atom_site_fract_y
_atom_site_fract_z
Zr1 Zr 0.000 0.000 0.500
Ti1 Ti 0.000 0.000 0.000
Cl1 Cl 0.500 0.500 0.500
```

---

11.
An optimized crystal structure of Np2Zn15Ni2, computed with GGA-PBE.

Output
As for the formation energy from the elements: -0.0490 eV/atom. For the total energy, the calculation gives -3.03 eV per atom.

Structure (CIF):
```
data_Np2Zn15Ni2
_cell_length_a 8.9211
_cell_length_b 8.9211
_cell_length_c 12.9986
_cell_angle_alpha 90.00
_cell_angle_beta 90.00
_cell_angle_gamma 120.00
_space_group_name_H-M_alt 'R -3 m'
_space_group_IT_number 166
_space_group_name_Hall '-R 3 2"'
loop_
_atom_site_label
_atom_site_type_symbol
_atom_site_fract_x
_atom_site_fract_y
_atom_site_fract_z
Np1 Np 0.0000 0.0000 0.1639
Zn1 Zn 0.0000 0.2842 0.5000
Zn2 Zn 0.0000 0.5000 0.0000
Zn3 Zn 0.0015 0.5007 0.6495
Ni1 Ni 0.0000 0.0000 0.3886
```

---

12.
An optimized crystal structure of K3RbGe, computed with GGA-PBE.

Output
As for the formation energy from the elements: 0.1284 eV/atom. For the total energy, the calculation gives -1.65 eV per atom. The value obtained for the distance to the lowest polymorph of the same formula is 0 meV/atom.

Structure (CIF):
```
data_K3RbGe
_cell_length_a 6.743
_cell_length_b 6.743
_cell_length_c 6.743
_cell_angle_alpha 90.00
_cell_angle_beta 90.00
_cell_angle_gamma 90.00
_space_group_name_H-M_alt 'P m -3 m'
_space_group_IT_number 221
_space_group_name_Hall '-P 4 2 3'
loop_
_atom_site_label
_atom_site_type_symbol
_atom_site_fract_x
_atom_site_fract_y
_atom_site_fract_z
K1 K 0.000 0.000 0.500
Rb1 Rb 0.500 0.500 0.500
Ge1 Ge 0.000 0.000 0.000
```